1.
# PrDyAgRu, optimized geometry, DFT PBE-GGA
# size of the total moment = 0.000 Bohr magnetons per cell
# polymorph energy (0 for the lowest one) = 0 meV per atom
# ΔE_f = -0.31 eV per atom
data_PrDyAgRu
_symmetry_space_group_name_H-M 'P 4 m m'
_symmetry_Int_Tables_number 99
_cell_length_a 3.4820
_cell_length_b 3.4820
_cell_length_c 7.6797
_cell_angle_alpha 90.00
_cell_angle_beta 90.00
_cell_angle_gamma 90.00
loop_
_symmetry_equiv_pos_as_xyz
'x,y,z'
'-y,x,z'
'-x,-y,z'
'y,-x,z'
'-x,y,z'
'y,x,z'
'x,-y,z'
'-y,-x,z'
loop_
_atom_site_label
_atom_site_type_symbol
_atom_site_fract_x
_atom_site_fract_y
_atom_site_fract_z
Pr1 Pr 0.0000 0.0000 0.0000
Dy1 Dy 0.0000 0.0000 0.5537
Ag1 Ag 0.5000 0.5000 0.2969
Ru1 Ru 0.5000 0.5000 0.7634

=====

2.
# PrDyAgRu, optimized geometry, DFT PBE-GGA
# size of the total moment = 0.000 Bohr magnetons per cell
# polymorph energy (0 for the lowest one) = 69 meV per atom
# ΔE_f = -0.24 eV per atom
data_PrDyAgRu
_symmetry_space_group_name_H-M 'F -4 3 m'
_symmetry_Int_Tables_number 216
_symmetry_space_group_name_Hall 'F -4 2 3'
_cell_length_a 7.1598
_cell_length_b 7.1598
_cell_length_c 7.1598
_cell_angle_alpha 90.00
_cell_angle_beta 90.00
_cell_angle_gamma 90.00
loop_
_atom_site_label
_atom_site_type_symbol
_atom_site_fract_x
_atom_site_fract_y
_atom_site_fract_z
Pr1 Pr 0.0000 0.0000 0.0000
Dy1 Dy 0.0000 0.0000 0.5000
Ag1 Ag 0.2500 0.2500 0.7500
Ru1 Ru 0.2500 0.2500 0.2500

=====

3.
# Pr2DyAgSe5, optimized geometry, DFT PBE-GGA
# size of the total moment = 0.000 Bohr magnetons per cell
# formation energy without anion corrections = -1.559 eV per atom
data_Pr2DyAgSe5
_symmetry_space_group_name_H-M 'C m c 21'
_symmetry_Int_Tables_number 36
_cell_length_a 4.1734
_cell_length_b 17.6298
_cell_length_c 12.5626
_cell_angle_alpha 90.00
_cell_angle_beta 90.00
_cell_angle_gamma 90.00
loop_
_symmetry_equiv_pos_as_xyz
'x,y,z'
'-x,-y,z+1/2'
'-x,y,z'
'x,-y,z+1/2'
'x+1/2,y+1/2,z'
'-x+1/2,-y+1/2,z+1/2'
'-x+1/2,y+1/2,z'
'x+1/2,-y+1/2,z+1/2'
loop_
_atom_site_label
_atom_site_type_symbol
_atom_site_fract_x
_atom_site_fract_y
_atom_site_fract_z
Pr1 Pr 0.0000 0.1102 0.0000
Pr2 Pr 0.0000 0.1251 0.6202
Dy1 Dy 0.0000 0.1956 0.3230
Ag1 Ag 0.0000 0.4428 0.7732
Se1 Se 0.0000 0.0461 0.3925
Se2 Se 0.0000 0.2864 0.9808
Se3 Se 0.0000 0.3059 0.6600
Se4 Se 0.0000 0.3588 0.3143
Se5 Se 0.0000 0.4977 0.0868

=====

4.
# PrDyAgSn, optimized geometry, DFT PBE-GGA
# size of the total moment = 0.013 Bohr magnetons per cell
# ΔE_f = -0.51 eV per atom
data_PrDyAgSn
_symmetry_space_group_name_H-M 'F -4 3 m'
_symmetry_Int_Tables_number 216
_symmetry_space_group_name_Hall 'F -4 2 3'
_cell_length_a 7.5512
_cell_length_b 7.5512
_cell_length_c 7.5512
_cell_angle_alpha 90.00
_cell_angle_beta 90.00
_cell_angle_gamma 90.00
loop_
_atom_site_label
_atom_site_type_symbol
_atom_site_fract_x
_atom_site_fract_y
_atom_site_fract_z
Pr1 Pr 0.0000 0.0000 0.0000
Dy1 Dy 0.0000 0.0000 0.5000
Ag1 Ag 0.2500 0.2500 0.7500
Sn1 Sn 0.2500 0.2500 0.2500